! Ce2CdAs2O | the Alexandria database | GGA-PBE | optimized geometry; values from VASP
! VASP energy ... -4.924 eV per atom
! Fermi-level density of states ... 8.79 states/eV per cell
! Formation energy (no corrections) ... -9.63 kcal/mol of atoms
! Space group ... P4/mmm, No. 123
! Spin magnetization ... 0.8 μB per cell
&SYSTEM
  ibrav = 0, nat = 6, ntyp = 4
/
ATOMIC_SPECIES
O 16.00 O.upf
Ce 140.12 Ce.upf
As 74.92 As.upf
Cd 112.41 Cd.upf
CELL_PARAMETERS angstrom
3.196 0.000 0.000
0.000 3.196 0.000
0.000 0.000 15.034
ATOMIC_POSITIONS crystal
O 0.500 0.500 0.500
Ce 0.500 0.500 0.638
As 0.500 0.500 0.829
Ce 0.500 0.500 0.362
As 0.500 0.500 0.171
Cd 0.500 0.500 0.000